# 1
VASP calculation (GGA-PBE) on a relaxed structure of Ce2YIn.

The structure in CIF format:
```
data_Ce2YIn
_cell_length_a 4.217
_cell_length_b 4.217
_cell_length_c 6.770
_cell_angle_alpha 90.00
_cell_angle_beta 90.00
_cell_angle_gamma 90.00
_symmetry_space_group_name_H-M 'P 4/m m m'
_symmetry_Int_Tables_number 123
_symmetry_space_group_name_Hall '-P 4 2'
loop_
_atom_site_label
_atom_site_type_symbol
_atom_site_fract_x
_atom_site_fract_y
_atom_site_fract_z
Ce1 Ce 0.000 0.000 0.209
Y1 Y 0.500 0.500 0.500
In1 In 0.500 0.500 0.000
```

Values from the calculation:
D(E_F) = 11.4 states/eV/f.u.
Magnetic moment = 2.0 μB/f.u.
E = -5.36 eV per atom
Polymorph energy (0 for the lowest one) = 11.4 kJ/mol of atoms

# 2
VASP calculation (GGA-PBE) on a relaxed structure of Ce2Y2In3.

The structure in CIF format:
```
data_Ce2Y2In3
_cell_length_a 4.494
_cell_length_b 24.153
_cell_length_c 3.417
_cell_angle_alpha 90.00
_cell_angle_beta 90.00
_cell_angle_gamma 90.00
_symmetry_space_group_name_H-M 'C m m m'
_symmetry_Int_Tables_number 65
_symmetry_space_group_name_Hall '-C 2 2'
loop_
_atom_site_label
_atom_site_type_symbol
_atom_site_fract_x
_atom_site_fract_y
_atom_site_fract_z
Ce1 Ce 0.000 0.215 0.000
Y1 Y 0.000 0.072 0.000
In1 In 0.000 0.357 0.500
In2 In 0.000 0.500 0.500
```

Values from the calculation:
D(E_F) = 11.2 states/eV/f.u.
Magnetic moment = 1.3 μB/f.u.
E = -5.07 eV per atom

# 3
VASP calculation (GGA-PBE) on a relaxed structure of CeYIn.

The structure in CIF format:
```
data_CeYIn
_cell_length_a 5.471
_cell_length_b 6.401
_cell_length_c 9.196
_cell_angle_alpha 90.00
_cell_angle_beta 90.00
_cell_angle_gamma 90.00
_symmetry_space_group_name_H-M 'I m m m'
_symmetry_Int_Tables_number 71
_symmetry_space_group_name_Hall '-I 2 2'
loop_
_atom_site_label
_atom_site_type_symbol
_atom_site_fract_x
_atom_site_fract_y
_atom_site_fract_z
Ce1 Ce 0.000 0.000 0.142
Y1 Y 0.000 0.500 0.173
In1 In 0.000 0.242 0.500
```

Values from the calculation:
D(E_F) = 5.4 states/eV/f.u.
Magnetic moment = 0.7 μB/f.u.
E = -5.19 eV per atom
Polymorph energy (0 for the lowest one) = 17.1 kJ/mol of atoms

# 4
VASP calculation (GGA-PBE) on a relaxed structure of Ce2YIn9.

The structure in CIF format:
```
data_Ce2YIn9
_cell_length_a 4.689
_cell_length_b 4.689
_cell_length_c 14.055
_cell_angle_alpha 90.00
_cell_angle_beta 90.00
_cell_angle_gamma 90.00
_symmetry_space_group_name_H-M 'P 4/m m m'
_symmetry_Int_Tables_number 123
_symmetry_space_group_name_Hall '-P 4 2'
loop_
_atom_site_label
_atom_site_type_symbol
_atom_site_fract_x
_atom_site_fract_y
_atom_site_fract_z
Ce1 Ce 0.000 0.000 0.169
Y1 Y 0.000 0.000 0.500
In1 In 0.000 0.500 0.000
In2 In 0.000 0.500 0.336
In3 In 0.500 0.500 0.167
In4 In 0.500 0.500 0.500
```

Values from the calculation:
D(E_F) = 14.1 states/eV/f.u.
Magnetic moment = 1.5 μB/f.u.
E = -4.00 eV per atom

# 5
VASP calculation (GGA-PBE) on a relaxed structure of CeY2In.

The structure in CIF format:
```
data_CeY2In
_cell_length_a 7.668
_cell_length_b 7.668
_cell_length_c 7.668
_cell_angle_alpha 90.00
_cell_angle_beta 90.00
_cell_angle_gamma 90.00
_symmetry_space_group_name_H-M 'F m -3 m'
_symmetry_Int_Tables_number 225
_symmetry_space_group_name_Hall '-F 4 2 3'
loop_
_atom_site_label
_atom_site_type_symbol
_atom_site_fract_x
_atom_site_fract_y
_atom_site_fract_z
Ce1 Ce 0.000 0.000 0.000
Y1 Y 0.250 0.250 0.250
In1 In 0.000 0.000 0.500
```

Values from the calculation:
D(E_F) = 7.3 states/eV/f.u.
Magnetic moment = 0.6 μB/f.u.
E = -5.48 eV per atom
Polymorph energy (0 for the lowest one) = 13.2 kJ/mol of atoms

# 6
VASP calculation (GGA-PBE) on a relaxed structure of CeYIn3.

The structure in CIF format:
```
data_CeYIn3
_cell_length_a 5.969
_cell_length_b 5.969
_cell_length_c 21.977
_cell_angle_alpha 90.00
_cell_angle_beta 90.00
_cell_angle_gamma 90.00
_symmetry_space_group_name_H-M 'I -4 m 2'
_symmetry_Int_Tables_number 119
_symmetry_space_group_name_Hall 'I -4 -2'
loop_
_atom_site_label
_atom_site_type_symbol
_atom_site_fract_x
_atom_site_fract_y
_atom_site_fract_z
Ce1 Ce 0.000 0.000 0.063
Y1 Y 0.000 0.000 0.500
Y2 Y 0.000 0.500 0.750
In1 In 0.000 0.247 0.628
In2 In 0.000 0.500 0.000
```

Values from the calculation:
D(E_F) = 8.0 states/eV/f.u.
Magnetic moment = 0.7 μB/f.u.
E = -4.01 eV per atom
Polymorph energy (0 for the lowest one) = 28.3 kJ/mol of atoms